1.
# PBE-GGA LiYSiNi, optimized geometry
# Distance to the lowest polymorph of the same formula (eV/atom): 0.000
# Crystal system: cubic
# Density (Mg/m³): 5.00
# Total magnetization (μB/atom): 0.000
data_LiYSiNi
_chemical_formula_sum 'Li1 Y1 Si1 Ni1'
_space_group_name_H-M_alt 'P 1'
_space_group_IT_number 1
_space_group_name_Hall 'P 1'
_cell_length_a 4.4090
_cell_length_b 4.4090
_cell_length_c 4.4090
_cell_angle_alpha 60.00
_cell_angle_beta 60.00
_cell_angle_gamma 60.00
loop_
_atom_site_label
_atom_site_fract_x
_atom_site_fract_y
_atom_site_fract_z
Li1 0.0000 0.0000 0.0000
Y1 0.7500 0.7500 0.7500
Si1 0.2500 0.2500 0.2500
Ni1 0.5000 0.5000 0.5000


2.
# PBE-GGA ScCuGe, optimized geometry
# Crystal system: hexagonal
# DFT total energy (eV per atom): -5.549
# Density (Mg/m³): 6.16
# Total magnetization (μB/atom): 0.000
data_ScCuGe
_chemical_formula_sum 'Sc3 Cu3 Ge3'
_space_group_name_H-M_alt 'P 1'
_space_group_IT_number 1
_space_group_name_Hall 'P 1'
_cell_length_a 6.5054
_cell_length_b 6.5054
_cell_length_c 3.9955
_cell_angle_alpha 90.00
_cell_angle_beta 90.00
_cell_angle_gamma 120.00
loop_
_atom_site_label
_atom_site_fract_x
_atom_site_fract_y
_atom_site_fract_z
Sc1 0.0000 0.5684 0.0000
Sc2 0.4316 0.4316 0.0000
Sc3 0.5684 0.0000 0.0000
Cu1 0.0000 0.2416 0.5000
Cu2 0.2416 0.0000 0.5000
Cu3 0.7584 0.7584 0.5000
Ge1 0.0000 0.0000 0.0000
Ge2 0.3333 0.6667 0.5000
Ge3 0.6667 0.3333 0.5000


3.
# PBE-GGA NdHgPt, optimized geometry
# Formation energy from the elements (eV per atom): -0.7256
# Crystal system: cubic
# Density (Mg/m³): 11.39
# Total magnetization (μB/atom): 0.001
data_NdHgPt
_chemical_formula_sum 'Nd1 Hg1 Pt1'
_space_group_name_H-M_alt 'P 1'
_space_group_IT_number 1
_space_group_name_Hall 'P 1'
_cell_length_a 4.8110
_cell_length_b 4.8110
_cell_length_c 4.8110
_cell_angle_alpha 60.00
_cell_angle_beta 60.00
_cell_angle_gamma 60.00
loop_
_atom_site_label
_atom_site_fract_x
_atom_site_fract_y
_atom_site_fract_z
Nd1 0.0000 0.0000 0.0000
Hg1 0.5000 0.5000 0.5000
Pt1 0.7500 0.7500 0.7500


4.
# PBE-GGA GdAgSnTe3, optimized geometry
# Distance to the lowest polymorph of the same formula (eV/atom): 0.051
# Crystal system: orthorhombic
# Density (Mg/m³): 7.19
# Total magnetization (μB/atom): 0.000
data_GdAgSnTe3
_chemical_formula_sum 'Gd4 Ag4 Sn4 Te12'
_space_group_name_H-M_alt 'P 1'
_space_group_IT_number 1
_space_group_name_Hall 'P 1'
_cell_length_a 12.4361
_cell_length_b 4.5156
_cell_length_c 12.6134
_cell_angle_alpha 90.00
_cell_angle_beta 90.00
_cell_angle_gamma 90.00
loop_
_atom_site_label
_atom_site_fract_x
_atom_site_fract_y
_atom_site_fract_z
Gd1 0.0239 0.2500 0.1909
Gd2 0.4761 0.7500 0.6909
Gd3 0.5239 0.2500 0.3091
Gd4 0.9761 0.7500 0.8091
Ag1 0.2359 0.7500 0.2942
Ag2 0.2641 0.2500 0.7942
Ag3 0.7359 0.7500 0.2058
Ag4 0.7641 0.2500 0.7058
Sn1 0.1889 0.2500 0.4824
Sn2 0.3111 0.7500 0.9824
Sn3 0.6889 0.2500 0.0176
Sn4 0.8111 0.7500 0.5176
Te1 0.0269 0.7500 0.3708
Te2 0.0934 0.2500 0.9393
Te3 0.2168 0.7500 0.6701
Te4 0.2832 0.2500 0.1701
Te5 0.4066 0.7500 0.4393
Te6 0.4731 0.2500 0.8708
Te7 0.5269 0.7500 0.1292
Te8 0.5934 0.2500 0.5607
Te9 0.7168 0.7500 0.8299
Te10 0.7832 0.2500 0.3299
Te11 0.9066 0.7500 0.0607
Te12 0.9731 0.2500 0.6292


5.
# PBE-GGA RbTbCdSe3, optimized geometry
# Crystal system: monoclinic
# DFT total energy (eV per atom): -4.164
# Density (Mg/m³): 5.13
# Total magnetization (μB/atom): 0.000
data_RbTbCdSe3
_chemical_formula_sum 'Rb2 Tb2 Cd2 Se6'
_space_group_name_H-M_alt 'P 1'
_space_group_IT_number 1
_space_group_name_Hall 'P 1'
_cell_length_a 8.8270
_cell_length_b 4.2844
_cell_length_c 10.7911
_cell_angle_alpha 90.00
_cell_angle_beta 109.69
_cell_angle_gamma 90.00
loop_
_atom_site_label
_atom_site_fract_x
_atom_site_fract_y
_atom_site_fract_z
Rb1 0.2485 0.2500 0.2278
Rb2 0.7515 0.7500 0.7722
Tb1 0.1814 0.7500 0.6306
Tb2 0.8186 0.2500 0.3694
Cd1 0.4193 0.2500 0.8871
Cd2 0.5807 0.7500 0.1129
Se1 0.0341 0.7500 0.3564
Se2 0.2629 0.7500 0.9386
Se3 0.4121 0.2500 0.6427
Se4 0.5879 0.7500 0.3573
Se5 0.7371 0.2500 0.0614
Se6 0.9659 0.2500 0.6436


6.
# PBE-GGA HfCuBiPd, optimized geometry
# Distance to the lowest polymorph of the same formula (eV/atom): 0.061
# Crystal system: cubic
# Density (Mg/m³): 12.11
# Total magnetization (μB/atom): 0.000
data_HfCuBiPd
_chemical_formula_sum 'Hf1 Cu1 Bi1 Pd1'
_space_group_name_H-M_alt 'P 1'
_space_group_IT_number 1
_space_group_name_Hall 'P 1'
_cell_length_a 4.7634
_cell_length_b 4.7634
_cell_length_c 4.7634
_cell_angle_alpha 60.00
_cell_angle_beta 60.00
_cell_angle_gamma 60.00
loop_
_atom_site_label
_atom_site_fract_x
_atom_site_fract_y
_atom_site_fract_z
Hf1 0.0000 0.0000 0.0000
Cu1 0.5000 0.5000 0.5000
Bi1 0.2500 0.2500 0.2500
Pd1 0.7500 0.7500 0.7500